(1)
This record from Alexandria describes Pd3SO after structural relaxation. The functional is GGA-PBE.

a b c (Å): 4.235 4.235 4.235
angles (deg): 90.00 90.00 90.00
Space group Pm-3m (No. 221)
Asymmetric unit:
Pd 0.000 0.000 0.500 x3
S 0.500 0.500 0.500 x1
O 0.000 0.000 0.000 x1

Summary:
E above lowest polymorph: 0 meV per atom
E: -4.69 eV per atom
energy relative to the elements, uncorrected: 0.2425 eV/atom

(2)
This record from Alexandria describes PrBS4 after structural relaxation. The functional is GGA-PBE.

a b c (Å): 5.104 8.935 6.226
angles (deg): 90.00 98.12 90.00
Space group P2_1/m (No. 11)
Asymmetric unit:
Pr 0.125 0.250 0.173 x2
B 0.318 0.750 0.352 x2
S 0.150 0.585 0.206 x4
S 0.332 0.250 0.756 x2
S 0.347 0.750 0.654 x2

Summary:
E: -5.40 eV per atom
energy relative to the elements, uncorrected: -0.7367 eV/atom

(3)
This record from Alexandria describes PmThSe2 after structural relaxation. The functional is GGA-PBE.

a b c (Å): 3.650 3.650 7.250
angles (deg): 90.00 90.00 90.00
Space group P4/mmm (No. 123)
Asymmetric unit:
Pm 0.000 0.000 0.000 x1
Th 0.000 0.000 0.500 x1
Se 0.500 0.500 0.253 x2

Summary:
E above lowest polymorph: 166 meV per atom
E: -6.30 eV per atom
energy relative to the elements, uncorrected: -1.5120 eV/atom

(4)
This record from Alexandria describes Ho2ZrNpN4 after structural relaxation. The functional is GGA-PBE.

a b c (Å): 5.870 3.392 5.872
angles (deg): 90.00 109.06 90.00
Space group P2/m (No. 10)
Asymmetric unit:
Ho 0.000 0.000 0.000 x1
Ho 0.500 0.500 0.000 x1
Zr 0.000 0.500 0.500 x1
Np 0.500 0.000 0.500 x1
N 0.245 0.000 0.735 x2
N 0.249 0.500 0.261 x2

Summary:
E: -9.58 eV per atom
energy relative to the elements, uncorrected: -1.5819 eV/atom

(5)
This record from Alexandria describes LaTbTlRh after structural relaxation. The functional is GGA-PBE.

a b c (Å): 7.439 7.439 7.439
angles (deg): 90.00 90.00 90.00
Space group F-43m (No. 216)
Asymmetric unit:
La 0.000 0.000 0.000 x4
Tb 0.000 0.000 0.500 x4
Tl 0.250 0.250 0.250 x4
Rh 0.250 0.250 0.750 x4

Summary:
formation energy from the elements: -9.754 kcal/mol of atoms
E: -5.24 eV per atom

(6)
This record from Alexandria describes GdMoC2 after structural relaxation. The functional is GGA-PBE.

a b c (Å): 5.734 3.441 10.819
angles (deg): 90.00 90.00 90.00
Space group Pnma (No. 62)
Asymmetric unit:
Gd 0.085 0.250 0.138 x4
Mo 0.094 0.750 0.391 x4
C 0.158 0.250 0.752 x4
C 0.219 0.250 0.481 x4

Summary:
formation energy from the elements: -4.924 kcal/mol of atoms
E above lowest polymorph: 0 meV per atom
E: -11.05 eV per atom

(7)
This record from Alexandria describes TbPm2Sm2Mg5 after structural relaxation. The functional is GGA-PBE.

a b c (Å): 10.661 10.661 5.132
angles (deg): 90.00 90.00 90.00
Space group P4/mbm (No. 127)
Asymmetric unit:
Tb 0.000 0.000 0.000 x2
Pm 0.176 0.324 0.000 x4
Sm 0.123 0.623 0.000 x4
Mg 0.000 0.500 0.500 x2
Mg 0.074 0.806 0.500 x8

Summary:
formation energy from the elements: 1.014 kcal/mol of atoms
E: -3.11 eV per atom

(8)
This record from Alexandria describes Na4Tl5Hg after structural relaxation. The functional is GGA-PBE.

a b c (Å): 4.017 4.017 17.565
angles (deg): 90.00 90.00 90.00
Space group P4/mmm (No. 123)
Asymmetric unit:
Na 0.000 0.000 0.102 x2
Na 0.000 0.000 0.304 x2
Tl 0.500 0.500 0.000 x1
Tl 0.500 0.500 0.202 x2
Tl 0.500 0.500 0.404 x2
Hg 0.000 0.000 0.500 x1

Summary:
formation energy from the elements: -2.088 kcal/mol of atoms
E above lowest polymorph: 0 meV per atom
E: -1.83 eV per atom

(9)
This record from Alexandria describes PrNdDy2Se4 after structural relaxation. The functional is GGA-PBE.

a b c (Å): 7.138 4.089 7.373
angles (deg): 90.00 108.58 90.00
Space group P2/m (No. 10)
Asymmetric unit:
Pr 0.000 0.000 0.000 x1
Nd 0.500 0.500 0.000 x1
Dy 0.000 0.500 0.500 x1
Dy 0.500 0.000 0.500 x1
Se 0.246 0.000 0.734 x2
Se 0.257 0.500 0.267 x2

Summary:
E: -5.89 eV per atom
energy relative to the elements, uncorrected: -1.7998 eV/atom

(10)
This record from Alexandria describes Ho4BiAu after structural relaxation. The functional is GGA-PBE.

a b c (Å): 5.561 20.474 6.378
angles (deg): 90.00 90.00 90.00
Space group Cmcm (No. 63)
Asymmetric unit:
Ho 0.000 0.054 0.250 x4
Ho 0.000 0.203 0.002 x8
Ho 0.000 0.384 0.250 x4
Bi 0.000 0.349 0.750 x4
Au 0.000 0.082 0.750 x4

Summary:
formation energy from the elements: -9.544 kcal/mol of atoms
E: -4.66 eV per atom

(11)
This record from Alexandria describes CeAlAg2 after structural relaxation. The functional is GGA-PBE.

a b c (Å): 6.981 6.981 6.981
angles (deg): 90.00 90.00 90.00
Space group Fm-3m (No. 225)
Asymmetric unit:
Ce 0.000 0.000 0.000 x4
Al 0.000 0.000 0.500 x4
Ag 0.250 0.250 0.250 x8

Summary:
formation energy from the elements: -4.478 kcal/mol of atoms
E above lowest polymorph: 19 meV per atom
E: -4.04 eV per atom

(12)
This record from Alexandria describes Ba8Bi4H2O after structural relaxation. The functional is GGA-PBE.

a b c (Å): 5.312 5.312 38.694
angles (deg): 90.00 90.00 90.00
Space group I4/mmm (No. 139)
Asymmetric unit:
Ba 0.000 0.000 0.084 x4
Ba 0.000 0.000 0.340 x4
Ba 0.000 0.500 0.000 x4
Ba 0.000 0.500 0.250 x4
Bi 0.000 0.000 0.180 x4
Bi 0.000 0.000 0.433 x4
H 0.000 0.000 0.271 x4
O 0.000 0.000 0.000 x2

Summary:
E: -3.93 eV per atom

(13)
This record from Alexandria describes Al2ZnGa2Cu7 after structural relaxation. The functional is GGA-PBE.

a b c (Å): 5.349 5.993 10.632
angles (deg): 90.00 90.17 90.00
Space group C2/m (No. 12)
Asymmetric unit:
Al 0.000 0.000 0.201 x4
Zn 0.000 0.500 0.500 x2
Ga 0.000 0.500 0.195 x4
Cu 0.000 0.000 0.500 x2
Cu 0.243 0.000 0.000 x4
Cu 0.249 0.250 0.351 x8

Summary:
formation energy from the elements: -1.213 kcal/mol of atoms
E: -3.68 eV per atom

(14)
This record from Alexandria describes LiMoBr after structural relaxation. The functional is GGA-PBE.

a b c (Å): 3.081 3.081 12.111
angles (deg): 90.00 90.00 90.00
Space group I4mm (No. 107)
Asymmetric unit:
Li 0.000 0.000 0.000 x2
Mo 0.000 0.000 0.663 x2
Br 0.000 0.000 0.288 x2

Summary:
E above lowest polymorph: 140 meV per atom
E: -4.34 eV per atom
energy relative to the elements, uncorrected: 0.4615 eV/atom

(15)
This record from Alexandria describes KV2CdCo after structural relaxation. The functional is GGA-PBE.

a b c (Å): 4.586 4.586 4.506
angles (deg): 90.00 90.00 90.00
Space group P4/mmm (No. 123)
Asymmetric unit:
K 0.000 0.000 0.000 x1
V 0.000 0.500 0.000 x2
Cd 0.500 0.500 0.500 x1
Co 0.000 0.000 0.500 x1

Summary:
formation energy from the elements: 53.709 kcal/mol of atoms
E: -3.14 eV per atom

(16)
This record from Alexandria describes Bi2Te2Pd after structural relaxation. The functional is GGA-PBE.

a b c (Å): 6.647 6.489 13.815
angles (deg): 90.00 101.63 90.00
Space group C2/c (No. 15)
Asymmetric unit:
Bi 0.211 0.035 0.107 x8
Te 0.214 0.453 0.627 x8
Pd 0.000 0.199 0.750 x4

Summary:
E above lowest polymorph: 0 meV per atom
E: -3.99 eV per atom
energy relative to the elements, uncorrected: -0.1375 eV/atom

(17)
This record from Alexandria describes Tb2DyPaP4 after structural relaxation. The functional is GGA-PBE.

a b c (Å): 6.920 4.007 6.927
angles (deg): 90.00 109.47 90.00
Space group P2/m (No. 10)
Asymmetric unit:
Tb 0.000 0.000 0.000 x1
Tb 0.500 0.500 0.000 x1
Dy 0.000 0.500 0.500 x1
Pa 0.500 0.000 0.500 x1
P 0.253 0.000 0.745 x2
P 0.254 0.500 0.255 x2

Summary:
formation energy from the elements: -35.717 kcal/mol of atoms
E: -7.17 eV per atom

(18)
This record from Alexandria describes CaGeAu2 after structural relaxation. The functional is GGA-PBE.

a b c (Å): 4.6056 4.6056 14.5090
angles (deg): 90.00 90.00 120.00
Space group R-3m (No. 166, hexagonal axes)
Asymmetric unit:
Ca 0.0000 0.0000 0.0000 x3
Ge 0.0000 0.0000 0.5000 x3
Au 0.0000 0.0000 0.2177 x6

Summary:
formation energy from the elements: -10.772 kcal/mol of atoms
E: -3.76 eV per atom

(19)
This record from Alexandria describes Ti6TlC after structural relaxation. The functional is GGA-PBE.

a b c (Å): 7.9887 7.9887 7.2052
angles (deg): 90.00 90.00 120.00
Space group R-3 (No. 148, hexagonal axes)
Asymmetric unit:
Ti 0.0708 0.2448 0.1601 x18
Tl 0.0000 0.0000 0.5000 x3
C 0.0000 0.0000 0.0000 x3

Summary:
formation energy from the elements: -4.537 kcal/mol of atoms
E: -7.57 eV per atom

(20)
This record from Alexandria describes CaAcHoTm after structural relaxation. The functional is GGA-PBE.

a b c (Å): 8.334 8.334 8.334
angles (deg): 90.00 90.00 90.00
Space group F-43m (No. 216)
Asymmetric unit:
Ca 0.000 0.000 0.000 x4
Ac 0.250 0.250 0.750 x4
Ho 0.250 0.250 0.250 x4
Tm 0.000 0.000 0.500 x4

Summary:
formation energy from the elements: 3.043 kcal/mol of atoms
E: -3.66 eV per atom

(21)
This record from Alexandria describes Sr2SbMo after structural relaxation. The functional is GGA-PBE.

a b c (Å): 8.842 8.842 6.723
angles (deg): 90.00 90.00 90.00
Space group I-42d (No. 122)
Asymmetric unit:
Sr 0.246 0.250 0.125 x8
Sb 0.000 0.000 0.500 x4
Mo 0.000 0.000 0.000 x4

Summary:
E: -3.97 eV per atom
energy relative to the elements, uncorrected: 0.6081 eV/atom

(22)
This record from Alexandria describes TlReAu2 after structural relaxation. The functional is GGA-PBE.

a b c (Å): 2.887 2.887 9.498
angles (deg): 90.00 90.00 90.00
Space group P4/mmm (No. 123)
Asymmetric unit:
Tl 0.000 0.000 0.000 x1
Re 0.000 0.000 0.500 x1
Au 0.500 0.500 0.294 x2

Summary:
formation energy from the elements: 12.007 kcal/mol of atoms
E above lowest polymorph: 0 meV per atom
E: -4.82 eV per atom

(23)
This record from Alexandria describes AlGa2BiS6 after structural relaxation. The functional is GGA-PBE.

a b c (Å): 12.553 11.913 6.912
angles (deg): 90.00 110.93 90.00
Space group C2/c (No. 15)
Asymmetric unit:
Al 0.000 0.199 0.250 x4
Ga 0.168 0.431 0.697 x8
Bi 0.000 0.117 0.750 x4
S 0.120 0.074 0.171 x8
S 0.125 0.252 0.562 x8
S 0.132 0.416 0.995 x8

Summary:
E: -4.44 eV per atom
energy relative to the elements, uncorrected: -0.5916 eV/atom

(24)
This record from Alexandria describes Zn2NiRu after structural relaxation. The functional is GGA-PBE.

a b c (Å): 5.485 7.232 2.667
angles (deg): 90.00 90.00 90.00
Space group Cmmm (No. 65)
Asymmetric unit:
Zn 0.250 0.250 0.000 x4
Ni 0.000 0.000 0.500 x2
Ru 0.000 0.500 0.500 x2

Summary:
formation energy from the elements: -0.679 kcal/mol of atoms
E: -4.43 eV per atom